[1]
This record from the Alexandria database describes a relaxed Hg2Os crystal. The functional is PBE.

Values from the calculation:
calculated formation energy = 843 meV/atom

Geometry as POSCAR:
```
Hg2Os
1.0
-2.1871 2.1871 12.6347
2.1871 -2.1871 12.6347
2.1871 2.1871 -12.6347
Hg Os
8 4
Cartesian
2.1871 -1.0936 7.4561
2.1871 1.0936 -3.2645
2.1871 -1.0936 11.4960
0.0000 1.0936 3.0528
2.1871 1.0936 9.5819
0.0000 3.2807 1.1387
0.0000 1.0936 15.8992
0.0000 3.2807 5.1786
2.1871 1.0936 0.5901
2.1871 1.0936 5.7273
0.0000 1.0936 6.9074
0.0000 1.0936 12.0446
```

=====

[2]
This record from the Alexandria database describes a relaxed Hg3Os crystal. The functional is PBE.

Values from the calculation:
calculated formation energy = 865 meV/atom
energy relative to the lowest polymorph listed for this composition = 0.264 eV/atom

Geometry as POSCAR:
```
Hg3Os
1.0
-2.0648 2.0648 4.6334
2.0648 -2.0648 4.6334
2.0648 2.0648 -4.6334
Hg Os
3 1
Cartesian
0.0000 0.0000 0.0000
2.0648 0.0000 2.3167
0.0000 2.0648 2.3167
0.0000 0.0000 4.6334
```

=====

[3]
This record from the Alexandria database describes a relaxed Hg3Os crystal. The functional is PBE.

Values from the calculation:
calculated formation energy = 796 meV/atom
energy relative to the lowest polymorph listed for this composition = 0.195 eV/atom

Geometry as POSCAR:
```
Hg3Os
1.0
-2.0985 2.0985 8.8399
2.0985 -2.0985 8.8399
2.0985 2.0985 -8.8399
Hg Os
6 2
Cartesian
2.0985 0.0000 0.0000
0.0000 0.0000 2.2481
2.0985 0.0000 4.4199
0.0000 2.0985 0.0000
0.0000 2.0985 4.4199
0.0000 0.0000 15.4317
0.0000 0.0000 6.8128
0.0000 0.0000 10.8670
```

=====

[4]
This record from the Alexandria database describes a relaxed Hg2Os crystal. The functional is PBE.

Values from the calculation:
calculated formation energy = 1157 meV/atom

Geometry as POSCAR:
```
Hg2Os
1.0
4.7885 0.0000 0.0000
-2.3943 4.1470 0.0000
0.0000 0.0000 5.7422
Hg Os
4 2
Cartesian
0.0000 0.0000 0.0000
0.0000 0.0000 2.8711
0.0000 2.7647 1.4355
2.3943 1.3823 4.3066
0.0000 2.7647 4.3066
2.3943 1.3823 1.4355
```

=====

[5]
This record from the Alexandria database describes a relaxed HgOs crystal. The functional is PBE.

Values from the calculation:
calculated formation energy = 872 meV/atom
energy relative to the lowest polymorph listed for this composition = 0.472 eV/atom

Geometry as POSCAR:
```
HgOs
1.0
4.3553 0.0000 0.0000
-2.1777 3.7718 0.0000
0.0000 0.0000 9.4279
Hg Os
4 4
Cartesian
0.0000 2.5145 0.7644
0.0000 2.5145 3.9496
2.1777 1.2573 5.4783
2.1777 1.2573 8.6635
0.0000 0.0000 2.3570
0.0000 0.0000 7.0709
0.0000 2.5145 7.0709
2.1777 1.2573 2.3570
```

=====

[6]
This record from the Alexandria database describes a relaxed HgOs crystal. The functional is PBE.

Values from the calculation:
calculated formation energy = 1000 meV/atom
energy relative to the lowest polymorph listed for this composition = 0.599 eV/atom

Geometry as POSCAR:
```
HgOs
1.0
1.4573 0.8414 4.6788
-1.4573 0.8414 4.6788
0.0000 -1.6827 4.6788
Hg Os
1 1
Cartesian
0.0000 0.0000 0.0000
0.0000 0.0000 7.0182
```